1.
8
Lattice="3.198 0.000 0.000 0.000 4.434 0.000 0.000 0.000 8.939" Properties=species:S:1:pos:R:3 comment="Nb3Tc4Ge (PBE-GGA, optimized geometry)" magmom_total_mub_per_cell=0.0 sg=Pmmm dos_at_fermi_per_ev_cell=6.0 total_energy_ev_per_atom=-9.826 formation_enthalpy_0k_ev_per_atom=-0.290 rho_g_cm3=9.7 pbc="T T T"
Nb 0.000 0.000 0.000
Nb 0.000 2.217 2.299
Nb 0.000 2.217 6.640
Tc 1.599 0.000 2.252
Tc 1.599 0.000 6.687
Tc 1.599 2.217 0.000
Tc 1.599 2.217 4.469
Ge 0.000 0.000 4.469

2.
5
Lattice="4.127 0.000 0.000 0.000 4.127 0.000 0.000 0.000 4.127" Properties=species:S:1:pos:R:3 comment="BeVRe3 (PBE-GGA, optimized geometry)" magmom_total_mub_per_cell=0.0 sg=Pm-3m dos_at_fermi_per_ev_cell=5.6 relative_energy_ev_per_atom=0.0000 total_energy_ev_per_atom=-9.409 formation_enthalpy_0k_ev_per_atom=0.629 rho_g_cm3=14.6 pbc="T T T"
Be 0.000 0.000 0.000
V 2.063 2.063 2.063
Re 0.000 0.000 2.063
Re 0.000 2.063 0.000
Re 2.063 0.000 0.000

3.
10
Lattice="3.954 0.000 0.000 0.000 3.954 0.000 0.000 0.000 13.747" Properties=species:S:1:pos:R:3 comment="PrUS2O (PBE-GGA, optimized geometry)" magmom_total_mub_per_cell=5.5 sg=P4/nmm dos_at_fermi_per_ev_cell=9.5 raw_formation_energy_mev_per_atom=-2169 total_energy_ev_per_atom=-8.026 rho_g_cm3=7.1 pbc="T T T"
Pr 0.988 0.988 1.262
Pr 2.965 2.965 12.485
U 0.988 0.988 8.368
U 2.965 2.965 5.379
S 0.988 0.988 5.554
S 0.988 0.988 10.932
S 2.965 2.965 2.814
S 2.965 2.965 8.193
O 0.988 2.965 0.000
O 2.965 0.988 0.000

4.
5
Lattice="5.269 0.000 0.000 0.000 5.269 0.000 0.000 0.000 5.269" Properties=species:S:1:pos:R:3 comment="In3AgMo (PBE-GGA, optimized geometry)" magmom_total_mub_per_cell=0.0 sg=Pm-3m dos_at_fermi_per_ev_cell=4.7 relative_energy_ev_per_atom=0.0000 total_energy_ev_per_atom=-3.667 formation_enthalpy_0k_ev_per_atom=0.712 rho_g_cm3=6.2 pbc="T T T"
In 0.000 0.000 2.635
In 0.000 2.635 0.000
In 2.635 0.000 0.000
Ag 2.635 2.635 2.635
Mo 0.000 0.000 0.000

5.
6
Lattice="4.115 0.000 0.000 0.000 4.115 0.000 0.000 0.000 12.615" Properties=species:S:1:pos:R:3 comment="BaScPb (PBE-GGA, optimized geometry)" magmom_total_mub_per_cell=1.8 sg=I4mm dos_at_fermi_per_ev_cell=5.2 relative_energy_ev_per_atom=0.2610 total_energy_ev_per_atom=-4.164 formation_enthalpy_0k_ev_per_atom=-0.177 rho_g_cm3=6.1 pbc="T T T"
Ba 0.000 0.000 0.000
Ba 2.057 2.057 6.308
Sc 0.000 0.000 9.164
Sc 2.057 2.057 2.856
Pb 0.000 0.000 3.665
Pb 2.057 2.057 9.972

6.
10
Lattice="3.727 0.000 0.000 0.000 3.727 0.000 0.000 0.000 19.331" Properties=species:S:1:pos:R:3 comment="Na2InAs2 (PBE-GGA, optimized geometry)" magmom_total_mub_per_cell=0.0 sg=I4/mmm dos_at_fermi_per_ev_cell=3.7 relative_energy_ev_per_atom=0.2819 total_energy_ev_per_atom=-2.997 formation_enthalpy_0k_ev_per_atom=-0.062 rho_g_cm3=3.8 pbc="T T T"
Na 0.000 0.000 2.302
Na 0.000 0.000 17.029
Na 1.864 1.864 7.363
Na 1.864 1.864 11.968
In 0.000 0.000 9.666
In 1.864 1.864 0.000
As 0.000 1.864 4.833
As 0.000 1.864 14.498
As 1.864 0.000 4.833
As 1.864 0.000 14.498

7.
16
Lattice="6.257 0.000 0.000 0.000 6.257 0.000 0.000 0.000 6.257" Properties=species:S:1:pos:R:3 comment="Mg2OsRu (PBE-GGA, optimized geometry)" magmom_total_mub_per_cell=0.0 sg=Fm-3m dos_at_fermi_per_ev_cell=22.8 relative_energy_ev_per_atom=0.3957 total_energy_ev_per_atom=-5.522 formation_enthalpy_0k_ev_per_atom=0.402 rho_g_cm3=9.2 pbc="T T T"
Mg 1.564 1.564 1.564
Mg 1.564 1.564 4.693
Mg 1.564 4.693 1.564
Mg 1.564 4.693 4.693
Mg 4.693 1.564 1.564
Mg 4.693 1.564 4.693
Mg 4.693 4.693 1.564
Mg 4.693 4.693 4.693
Os 0.000 0.000 0.000
Os 0.000 3.128 3.128
Os 3.128 0.000 3.128
Os 3.128 3.128 0.000
Ru 0.000 0.000 3.128
Ru 0.000 3.128 0.000
Ru 3.128 0.000 0.000
Ru 3.128 3.128 3.128